No. 1
First-principles (PBE-GGA) data for crystalline Cs4PbAu at its relaxed geometry, as listed in the Alexandria database.

a = 10.406 Å, b = 10.406 Å, c = 8.264 Å
α = 106.20°, β = 106.20°, γ = 111.69°
Sites, in units of the cell vectors:
Cs 0.054 0.712 0.921
Cs 0.236 0.358 0.712
Cs 0.288 0.946 0.579
Cs 0.358 0.236 0.212
Cs 0.642 0.764 0.788
Cs 0.712 0.054 0.421
Cs 0.764 0.642 0.288
Cs 0.946 0.288 0.079
Pb 0.362 0.638 0.250
Pb 0.638 0.362 0.750
Au 0.002 0.998 0.750
Au 0.998 0.002 0.250

Properties
* DFT total energy: -22.469 eV per cell
* symmetry: C2/c (15)
* size of the total moment: 2.08 μB per cell

***

No. 2
First-principles (PBE-GGA) data for crystalline RbThO3 at its relaxed geometry, as listed in the Alexandria database.

a = 6.827 Å, b = 4.320 Å, c = 7.118 Å
α = 90.00°, β = 90.00°, γ = 90.00°
Sites, in units of the cell vectors:
Rb 0.250 0.000 0.133
Rb 0.750 0.000 0.867
Th 0.250 0.500 0.610
Th 0.750 0.500 0.390
O 0.070 0.500 0.327
O 0.250 0.000 0.714
O 0.430 0.500 0.327
O 0.570 0.500 0.673
O 0.750 0.000 0.286
O 0.930 0.500 0.673

Properties
* DFT total energy: -71.150 eV per cell
* symmetry: Pmma (51)
* uncorrected formation energy: -2.463 eV/atom
* size of the total moment: 0.00 μB per cell

***

No. 3
First-principles (PBE-GGA) data for crystalline Ce3Si3Ir at its relaxed geometry, as listed in the Alexandria database.

a = 5.827 Å, b = 5.827 Å, c = 13.911 Å
α = 107.78°, β = 107.78°, γ = 42.79°
Sites, in units of the cell vectors:
Ce 0.023 0.023 0.382
Ce 0.110 0.110 0.922
Ce 0.246 0.246 0.230
Ce 0.754 0.754 0.770
Ce 0.890 0.890 0.078
Ce 0.977 0.977 0.618
Si 0.337 0.337 0.463
Si 0.401 0.401 0.927
Si 0.461 0.461 0.769
Si 0.539 0.539 0.231
Si 0.599 0.599 0.073
Si 0.663 0.663 0.537
Ir 0.258 0.258 0.618
Ir 0.742 0.742 0.382

Properties
* DFT total energy: -96.734 eV per cell
* symmetry: C2/m (12)
* uncorrected formation energy: -0.776 eV/atom
* size of the total moment: 5.27 μB per cell

***

No. 4
First-principles (PBE-GGA) data for crystalline NaBN at its relaxed geometry, as listed in the Alexandria database.

a = 4.561 Å, b = 12.149 Å, c = 2.548 Å
α = 90.00°, β = 91.30°, γ = 90.00°
Sites, in units of the cell vectors:
Na 0.000 0.184 0.000
Na 0.000 0.816 0.000
Na 0.500 0.316 0.000
Na 0.500 0.684 0.000
B 0.000 0.428 0.000
B 0.000 0.572 0.000
B 0.500 0.072 0.000
B 0.500 0.928 0.000
N 0.000 0.367 0.500
N 0.000 0.633 0.500
N 0.500 0.133 0.500
N 0.500 0.867 0.500

Properties
* DFT total energy: -71.166 eV per cell
* symmetry: C2/m (12)
* uncorrected formation energy: -0.490 eV/atom
* size of the total moment: 0.00 μB per cell

***

No. 5
First-principles (PBE-GGA) data for crystalline ZrPtRh at its relaxed geometry, as listed in the Alexandria database.

a = 6.205 Å, b = 6.205 Å, c = 6.205 Å
α = 90.00°, β = 90.00°, γ = 90.00°
Sites, in units of the cell vectors:
Zr 0.000 0.000 0.000
Zr 0.000 0.500 0.500
Zr 0.500 0.000 0.500
Zr 0.500 0.500 0.000
Pt 0.000 0.000 0.500
Pt 0.000 0.500 0.000
Pt 0.500 0.000 0.000
Pt 0.500 0.500 0.500
Rh 0.250 0.250 0.250
Rh 0.250 0.750 0.750
Rh 0.750 0.250 0.750
Rh 0.750 0.750 0.250

Properties
* DFT total energy: -92.642 eV per cell
* polymorph energy (0 for the lowest one): 474.4 meV per atom
* symmetry: F-43m (216)
* size of the total moment: 0.00 μB per cell

***

No. 6
First-principles (PBE-GGA) data for crystalline LaIn2F8 at its relaxed geometry, as listed in the Alexandria database.

a = 6.635 Å, b = 6.635 Å, c = 5.051 Å
α = 105.02°, β = 105.02°, γ = 44.60°
Sites, in units of the cell vectors:
La 0.000 0.000 0.000
In 0.338 0.338 0.408
In 0.662 0.662 0.592
F 0.065 0.577 0.757
F 0.106 0.106 0.678
F 0.423 0.935 0.243
F 0.482 0.482 0.237
F 0.518 0.518 0.763
F 0.577 0.065 0.757
F 0.894 0.894 0.322
F 0.935 0.423 0.243

Properties
* DFT total energy: -56.698 eV per cell
* symmetry: C2/m (12)
* uncorrected formation energy: -2.848 eV/atom
* size of the total moment: 0.00 μB per cell

***

No. 7
First-principles (PBE-GGA) data for crystalline BaIn2Pt at its relaxed geometry, as listed in the Alexandria database.

a = 7.424 Å, b = 7.424 Å, c = 7.424 Å
α = 90.00°, β = 90.00°, γ = 90.00°
Sites, in units of the cell vectors:
Ba 0.000 0.000 0.000
Ba 0.000 0.500 0.500
Ba 0.500 0.000 0.500
Ba 0.500 0.500 0.000
In 0.250 0.250 0.250
In 0.250 0.250 0.750
In 0.250 0.750 0.250
In 0.250 0.750 0.750
In 0.750 0.250 0.250
In 0.750 0.250 0.750
In 0.750 0.750 0.250
In 0.750 0.750 0.750
Pt 0.000 0.000 0.500
Pt 0.000 0.500 0.000
Pt 0.500 0.000 0.000
Pt 0.500 0.500 0.500

Properties
* DFT total energy: -57.660 eV per cell
* symmetry: Fm-3m (225)
* size of the total moment: 0.00 μB per cell

***

No. 8
First-principles (PBE-GGA) data for crystalline GdDy2In at its relaxed geometry, as listed in the Alexandria database.

a = 3.587 Å, b = 3.587 Å, c = 9.190 Å
α = 90.00°, β = 90.00°, γ = 90.00°
Sites, in units of the cell vectors:
Gd 0.000 0.000 0.000
Dy 0.500 0.500 0.275
Dy 0.500 0.500 0.725
In 0.000 0.000 0.500

Properties
* DFT total energy: -26.926 eV per cell
* polymorph energy (0 for the lowest one): 54.4 meV per atom
* symmetry: P4/mmm (123)
* size of the total moment: 7.38 μB per cell

***

No. 9
First-principles (PBE-GGA) data for crystalline Ac3Nd3In2Sn at its relaxed geometry, as listed in the Alexandria database.

a = 9.130 Å, b = 9.130 Å, c = 4.389 Å
α = 90.00°, β = 90.00°, γ = 120.00°
Sites, in units of the cell vectors:
Ac 0.000 0.723 0.000
Ac 0.277 0.277 0.000
Ac 0.723 0.000 0.000
Nd 0.000 0.395 0.500
Nd 0.395 0.000 0.500
Nd 0.605 0.605 0.500
In 0.333 0.667 0.000
In 0.667 0.333 0.000
Sn 0.000 0.000 0.500

Properties
* DFT total energy: -39.000 eV per cell
* symmetry: P-62m (189)
* size of the total moment: 0.00 μB per cell

***

No. 10
First-principles (PBE-GGA) data for crystalline Co2AsPb at its relaxed geometry, as listed in the Alexandria database.

a = 3.666 Å, b = 3.666 Å, c = 9.447 Å
α = 90.00°, β = 90.00°, γ = 90.00°
Sites, in units of the cell vectors:
Co 0.000 0.000 0.000
Co 0.000 0.500 0.250
Co 0.500 0.000 0.750
Co 0.500 0.500 0.500
As 0.000 0.000 0.500
As 0.500 0.500 0.000
Pb 0.000 0.500 0.750
Pb 0.500 0.000 0.250

Properties
* DFT total energy: -41.116 eV per cell
* polymorph energy (0 for the lowest one): 388.4 meV per atom
* symmetry: I-4m2 (119)
* size of the total moment: 0.91 μB per cell

***

No. 11
First-principles (PBE-GGA) data for crystalline Er5Tm4Mg at its relaxed geometry, as listed in the Alexandria database.

a = 3.497 Å, b = 3.497 Å, c = 24.230 Å
α = 90.00°, β = 90.00°, γ = 90.00°
Sites, in units of the cell vectors:
Er 0.000 0.000 0.000
Er 0.000 0.000 0.204
Er 0.000 0.000 0.407
Er 0.000 0.000 0.593
Er 0.000 0.000 0.796
Tm 0.500 0.500 0.102
Tm 0.500 0.500 0.307
Tm 0.500 0.500 0.693
Tm 0.500 0.500 0.898
Mg 0.500 0.500 0.500

Properties
* DFT total energy: -42.227 eV per cell
* polymorph energy (0 for the lowest one): 0.0 meV per atom
* symmetry: P4/mmm (123)
* size of the total moment: 0.00 μB per cell

***

No. 12
First-principles (PBE-GGA) data for crystalline ScAlCd at its relaxed geometry, as listed in the Alexandria database.

a = 3.136 Å, b = 5.477 Å, c = 7.490 Å
α = 74.95°, β = 89.96°, γ = 89.93°
Sites, in units of the cell vectors:
Sc 0.000 0.000 0.000
Sc 0.001 0.205 0.371
Al 0.501 0.741 0.341
Al 0.501 0.876 0.684
Cd 0.498 0.374 0.674
Cd 0.500 0.498 0.027

Properties
* DFT total energy: -23.408 eV per cell
* symmetry: P1 (1)
* size of the total moment: 0.10 μB per cell